Below is a geometry-optimized Na3TiO4 structure, with properties calculated at the PBE level.

Unit cell a=8.0023 b=8.0023 c=5.7790 alpha=90.00 beta=90.00 gamma=120.00
Space group R3m (No. 160, hexagonal axes)
One atom of each set of equivalent atoms:
Na  0.0558  0.5279  0.0000 x9
Ti  0.0000  0.0000  0.9076 x3
O  0.0000  0.0000  0.5851 x3
O  0.2133  0.4266  0.7087 x9

## Properties
The calculation puts the formation energy without anion corrections at -1470 kJ/mol of formula units. Its total magnetization is 0.129 μB per atom.

Below is a geometry-optimized Na2TiO3 structure, with properties calculated at the PBE level.

Unit cell a=3.0261 b=4.2426 c=10.2556 alpha=90.00 beta=90.00 gamma=90.00
Space group Immm (No. 71)
One atom of each set of equivalent atoms:
Na  0.0000  0.0000  0.1759 x4
Ti  0.0000  0.0000  0.5000 x2
O  0.0000  0.5000  0.1281 x4
O  0.0000  0.5000  0.5000 x2

## Properties
The calculation puts the formation energy without anion corrections at -1321 kJ/mol of formula units. Its total magnetization is 0.000 μB per atom.

Below is a geometry-optimized Na2TiTlO4 structure, with properties calculated at the PBE level.

Unit cell a=5.1767 b=5.1767 c=9.9459 alpha=90.00 beta=90.00 gamma=90.00
Space group I-4 (No. 82)
One atom of each set of equivalent atoms:
Na  0.0000  0.0000  0.0000 x2
Na  0.0000  0.5000  0.2500 x2
Ti  0.0000  0.5000  0.7500 x2
Tl  0.0000  0.0000  0.5000 x2
O  0.2040  0.7111  0.8554 x8

## Properties
The calculation puts the formation energy without anion corrections at -1461 kJ/mol of formula units. Its total magnetization is 0.000 μB per atom.

> Which formula does entry 3 have?

Na2TiTlO4

> formation energy without anion corrections of number 1 (Na3TiO4)?

-1470 kJ/mol of formula units

> Look up the formation energy without anion corrections of the third one.

-1461 kJ/mol of formula units

> Number 3 is which compound?

Na2TiTlO4